No. 1
Computed, not measured: TbSbRh after structural relaxation at the PBE level of DFT.

Cell and atoms, written as extended XYZ:
```
3
Lattice="3.6039 0.0000 0.0000 0.0000 4.5828 0.0000 0.0000 -2.2914 3.9688" Properties=species:S:1:pos:R:3 pbc="T T T"
Tb 2.4028 2.2914 1.3229
Sb 0.6009 0.0000 2.6459
Rh 0.6002 0.0000 0.0000
```

Formation energy (no corrections) in eV/atom: -0.914
D(E_F) in states/eV per atom: 0.367
Space group: P-6m2
ρ in g cm⁻³: 9.7
VASP energy in eV/atom: -6.2819


No. 2
Computed, not measured: Tb7Sb2Rh2 after structural relaxation at the PBE level of DFT.

Cell and atoms, written as extended XYZ:
```
11
Lattice="-0.6367 -4.6248 -5.0128 6.4060 1.7331 -2.4127 2.8816 -3.6816 5.0065" Properties=species:S:1:pos:R:3 pbc="T T T"
Tb 6.2600 -0.5370 0.6882
Tb 0.0000 0.0000 0.0000
Tb 6.0117 -2.8304 -1.8446
Tb 7.3825 -4.6902 0.6850
Tb 2.6391 -3.7429 -0.5744
Tb 1.2684 -1.8831 -3.1040
Tb 2.3908 -6.0363 -3.1072
Rh 0.3427 -4.3622 -2.2237
Rh 8.3081 -2.2111 -0.1953
Sb 4.9947 -5.7631 -1.2114
Sb 3.6561 -0.8103 -1.2076
```

Formation energy (no corrections) in eV/atom: -0.581
D(E_F) in states/eV per atom: 0.830
Space group: Cmmm
ρ in g cm⁻³: 8.0
VASP energy in eV/atom: -5.6135